# 1
The following is a PBE-GGA calculation of an optimized crystal structure of LiTaBe4, from Alexandria.

a b c (Å): 4.493 4.493 4.493
angles (deg): 60.00 60.00 60.00
Atoms (fractional coordinates):
Li: 0.250 0.250 0.250
Ta: 0.000 0.000 0.000
Be: 0.629 0.629 0.112
Be: 0.629 0.112 0.629
Be: 0.629 0.629 0.629
Be: 0.112 0.629 0.629

Calculated values
total magnetic moment	0.00	μB per cell
formation enthalpy at 0 K	0.0850	eV per atom
Fermi-level density of states	2.4	states/eV/f.u.
space-group type	F-43m, No. 216

=====

# 2
The following is a PBE-GGA calculation of an optimized crystal structure of Ir3AuN, from Alexandria.

a b c (Å): 4.885 4.885 4.885
angles (deg): 90.00 90.00 90.00
Atoms (fractional coordinates):
Ir: 0.000 0.500 0.000
Ir: 0.000 0.000 0.500
Ir: 0.500 0.000 0.000
Au: 0.000 0.000 0.000
N: 0.500 0.500 0.500

Calculated values
total magnetic moment	3.83	μB per cell
energy relative to the lowest polymorph listed for this composition	1409	kJ/mol of formula units
Fermi-level density of states	14.9	states/eV/f.u.
space-group type	Pm-3m, No. 221
raw formation energy	3.6348	eV per atom

=====

# 3
The following is a PBE-GGA calculation of an optimized crystal structure of TlRu2F8, from Alexandria.

a b c (Å): 4.061 8.054 6.987
angles (deg): 119.85 103.59 87.40
Atoms (fractional coordinates):
Ru: 0.357 0.379 0.769
Ru: 0.643 0.621 0.231
Tl: 0.000 0.000 0.000
F: 0.135 0.621 0.222
F: 0.865 0.379 0.778
F: 0.613 0.831 0.177
F: 0.297 0.201 0.436
F: 0.312 0.596 0.736
F: 0.387 0.169 0.823
F: 0.703 0.799 0.564
F: 0.688 0.404 0.264

Calculated values
total magnetic moment	5.34	μB per cell
Fermi-level density of states	2.4	states/eV/f.u.
space-group type	P-1, No. 2
raw formation energy	-1.5445	eV per atom

=====

# 4
The following is a PBE-GGA calculation of an optimized crystal structure of Rb2ZrCu, from Alexandria.

a b c (Å): 12.634 12.634 9.301
angles (deg): 47.22 47.22 90.00
Atoms (fractional coordinates):
Cu: 0.500 0.500 0.000
Cu: 0.250 0.750 0.500
Rb: 0.476 0.125 0.250
Rb: 0.274 0.625 0.250
Rb: 0.375 0.524 0.750
Rb: 0.875 0.726 0.750
Zr: 0.000 0.000 0.000
Zr: 0.750 0.250 0.500

Calculated values
total magnetic moment	5.40	μB per cell
energy relative to the lowest polymorph listed for this composition	0	kJ/mol of formula units
formation enthalpy at 0 K	1.0113	eV per atom
Fermi-level density of states	4.9	states/eV/f.u.
space-group type	I-42d, No. 122

=====

# 5
The following is a PBE-GGA calculation of an optimized crystal structure of SiTcOs2, from Alexandria.

a b c (Å): 5.508 5.508 6.653
angles (deg): 65.55 65.55 90.00
Atoms (fractional coordinates):
Si: 0.500 0.500 0.000
Si: 0.250 0.750 0.500
Os: 0.617 0.125 0.250
Os: 0.133 0.625 0.250
Os: 0.375 0.383 0.750
Os: 0.875 0.867 0.750
Tc: 0.000 0.000 0.000
Tc: 0.750 0.250 0.500

Calculated values
total magnetic moment	0.00	μB per cell
Fermi-level density of states	3.7	states/eV/f.u.
space-group type	I-42d, No. 122
raw formation energy	0.8916	eV per atom

=====

# 6
The following is a PBE-GGA calculation of an optimized crystal structure of YSc2W, from Alexandria.

a b c (Å): 11.153 11.153 11.153
angles (deg): 16.13 16.13 16.13
Atoms (fractional coordinates):
Y: 0.000 0.000 0.000
Sc: 0.902 0.902 0.902
Sc: 0.098 0.098 0.098
W: 0.500 0.500 0.500

Calculated values
total magnetic moment	0.00	μB per cell
energy relative to the lowest polymorph listed for this composition	69	kJ/mol of formula units
formation enthalpy at 0 K	0.4440	eV per atom
Fermi-level density of states	6.3	states/eV/f.u.
space-group type	R-3m, No. 166

=====

# 7
The following is a PBE-GGA calculation of an optimized crystal structure of DyAg3Se3, from Alexandria.

a b c (Å): 7.502 7.502 8.173
angles (deg): 62.68 62.68 60.00
Atoms (fractional coordinates):
Dy: 0.333 0.333 0.000
Dy: 0.667 0.667 0.000
Ag: 0.473 0.785 0.620
Ag: 0.785 0.122 0.620
Ag: 0.122 0.473 0.620
Ag: 0.878 0.527 0.380
Ag: 0.215 0.878 0.380
Ag: 0.527 0.215 0.380
Se: 0.263 0.592 0.216
Se: 0.928 0.263 0.216
Se: 0.592 0.928 0.216
Se: 0.408 0.072 0.784
Se: 0.072 0.737 0.784
Se: 0.737 0.408 0.784

Calculated values
total magnetic moment	0.00	μB per cell
space-group type	R-3, No. 148
raw formation energy	-0.7089	eV per atom

=====

# 8
The following is a PBE-GGA calculation of an optimized crystal structure of Mg4Si3, from Alexandria.

a b c (Å): 6.658 7.289 12.507
angles (deg): 98.86 87.40 108.45
Atoms (fractional coordinates):
Mg: 0.681 0.874 0.889
Mg: 0.506 0.406 0.909
Mg: 0.081 0.913 0.355
Mg: 0.124 0.523 0.187
Mg: 0.199 0.961 0.842
Mg: 0.981 0.292 0.890
Mg: 0.559 0.795 0.413
Mg: 0.444 0.300 0.418
Mg: 0.403 0.792 0.643
Mg: 0.351 0.309 0.670
Mg: 0.934 0.948 0.109
Mg: 0.851 0.203 0.313
Mg: 0.946 0.491 0.688
Mg: 0.908 0.949 0.658
Mg: 0.622 0.519 0.208
Mg: 0.469 0.915 0.194
Si: 0.661 0.141 0.554
Si: 0.163 0.551 0.475
Si: 0.369 0.126 0.043
Si: 0.847 0.578 0.027
Si: 0.290 0.608 0.828
Si: 0.620 0.149 0.754
Si: 0.841 0.566 0.399
Si: 0.251 0.211 0.224
Si: 0.672 0.580 0.575
Si: 0.037 0.212 0.514
Si: 0.225 0.737 0.011
Si: 0.748 0.209 0.074

Calculated values
total magnetic moment	0.00	μB per cell
energy relative to the lowest polymorph listed for this composition	64	kJ/mol of formula units
Fermi-level density of states	1.8	states/eV/f.u.
space-group type	P1, No. 1
raw formation energy	0.0632	eV per atom

=====

# 9
The following is a PBE-GGA calculation of an optimized crystal structure of Nd6AgOs2Br3, from Alexandria.

a b c (Å): 7.285 7.285 8.231
angles (deg): 98.44 98.44 120.05
Atoms (fractional coordinates):
Nd: 0.934 0.571 0.800
Nd: 0.704 0.704 0.200
Nd: 0.066 0.429 0.200
Nd: 0.571 0.934 0.800
Nd: 0.296 0.296 0.800
Nd: 0.429 0.066 0.200
Ag: 0.000 0.000 0.000
Os: 0.333 0.667 0.000
Os: 0.667 0.333 0.000
Br: 0.168 0.832 0.500
Br: 0.832 0.168 0.500
Br: 0.500 0.500 0.500

Calculated values
total magnetic moment	0.00	μB per cell
Fermi-level density of states	3.8	states/eV/f.u.
space-group type	C2/m, No. 12
raw formation energy	-0.7369	eV per atom

=====

# 10
The following is a PBE-GGA calculation of an optimized crystal structure of ZnCo6Mo, from Alexandria.

a b c (Å): 6.220 6.220 10.165
angles (deg): 90.00 90.00 109.57
Atoms (fractional coordinates):
Co: 0.250 0.750 0.499
Co: 0.873 0.623 0.625
Co: 0.127 0.377 0.625
Co: 0.750 0.250 0.499
Co: 0.377 0.127 0.625
Co: 0.623 0.873 0.625
Co: 0.500 0.500 0.250
Co: 0.125 0.375 0.374
Co: 0.375 0.125 0.374
Co: 0.250 0.750 0.001
Co: 0.875 0.625 0.126
Co: 0.125 0.375 0.126
Co: 0.750 0.250 0.001
Co: 0.375 0.125 0.126
Co: 0.625 0.875 0.126
Co: 0.500 0.500 0.750
Co: 0.127 0.377 0.875
Co: 0.377 0.127 0.875
Co: 0.000 0.000 0.250
Co: 0.625 0.875 0.374
Co: 0.875 0.625 0.374
Co: 0.000 0.000 0.750
Co: 0.623 0.873 0.875
Co: 0.873 0.623 0.875
Mo: 0.245 0.755 0.250
Mo: 0.755 0.245 0.250
Mo: 0.000 0.000 0.502
Mo: 0.000 0.000 0.998
Zn: 0.247 0.753 0.750
Zn: 0.753 0.247 0.750
Zn: 0.500 0.500 0.499
Zn: 0.500 0.500 0.001

Calculated values
total magnetic moment	22.56	μB per cell
formation enthalpy at 0 K	0.0387	eV per atom
Fermi-level density of states	9.9	states/eV/f.u.
space-group type	Cmmm, No. 65

=====

# 11
The following is a PBE-GGA calculation of an optimized crystal structure of Tb3Pm6Tm2Mg, from Alexandria.

a b c (Å): 6.213 6.213 11.724
angles (deg): 95.09 95.09 120.02
Atoms (fractional coordinates):
Tb: 0.167 0.833 0.500
Tb: 0.833 0.167 0.500
Tb: 0.500 0.500 0.500
Pm: 0.919 0.586 0.754
Pm: 0.748 0.748 0.248
Pm: 0.081 0.414 0.246
Pm: 0.586 0.919 0.754
Pm: 0.252 0.252 0.752
Pm: 0.414 0.081 0.246
Tm: 0.334 0.666 0.000
Tm: 0.666 0.334 0.000
Mg: 0.000 0.000 0.000

Calculated values
total magnetic moment	0.00	μB per cell
formation enthalpy at 0 K	0.0256	eV per atom
Fermi-level density of states	13.2	states/eV/f.u.
space-group type	C2/m, No. 12

=====

# 12
The following is a PBE-GGA calculation of an optimized crystal structure of AgP3, from Alexandria.

a b c (Å): 4.884 4.884 4.884
angles (deg): 90.00 90.00 90.00
Atoms (fractional coordinates):
Ag: 0.000 0.000 0.000
P: 0.500 0.000 0.000
P: 0.000 0.500 0.000
P: 0.000 0.000 0.500

Calculated values
total magnetic moment	0.00	μB per cell
energy relative to the lowest polymorph listed for this composition	563	kJ/mol of formula units
formation enthalpy at 0 K	1.6432	eV per atom
Fermi-level density of states	4.3	states/eV/f.u.
space-group type	Pm-3m, No. 221

=====

Number 1: E -0.172 Ha/atom. Number 2: E -0.147 Ha/atom. Number 3: E -0.177 Ha/atom. Number 4: E -0.097 Ha/atom. Number 5: E -0.319 Ha/atom. Number 6: E -0.278 Ha/atom. Number 7: E -0.150 Ha/atom. Number 8: E -0.117 Ha/atom. Number 9: E -0.208 Ha/atom. Number 10: E -0.250 Ha/atom. Number 11: E -0.161 Ha/atom. Number 12: E -0.115 Ha/atom.